Density functional theory data (PBE-GGA) for Sm3TlTe4 after structural relaxation.

Properties
- formation energy (no corrections) (eV/atom) = -1.223

Structure (extended XYZ):
```
16
Lattice="4.4619 0.0000 0.0000 -2.2309 3.8641 0.0000 0.0000 0.0000 31.1760" Properties=species:S:1:pos:R:3 pbc="T T T"
Sm 0.0000 0.0000 0.0000
Sm 0.0000 0.0000 15.5880
Sm 0.0000 2.5761 3.6256
Sm 0.0000 2.5761 11.9625
Sm 2.2309 1.2880 19.2136
Sm 2.2309 1.2880 27.5505
Tl 0.0000 2.5761 23.3820
Tl 2.2309 1.2880 7.7940
Te 0.0000 0.0000 5.4290
Te 0.0000 0.0000 10.1591
Te 0.0000 0.0000 21.0170
Te 0.0000 0.0000 25.7471
Te 0.0000 2.5761 17.4009
Te 0.0000 2.5761 29.3632
Te 2.2309 1.2880 1.8129
Te 2.2309 1.2880 13.7751
```